# 1
CaPd4Au after structural relaxation, computed with PBE.

The structure in POSCAR format:
```
CaPd4Au
1.0
7.7432 0.0000 0.0000
0.0000 4.1738 0.0000
0.0000 0.0000 6.9260
Ca Pd Au
2 8 2
Direct
0.2500 0.0000 0.1667
0.7500 0.0000 0.8333
0.0000 0.0000 0.5000
0.0296 0.5000 0.8019
0.2500 0.5000 0.4708
0.4704 0.5000 0.8019
0.5000 0.0000 0.5000
0.5296 0.5000 0.1981
0.7500 0.5000 0.5292
0.9704 0.5000 0.1981
0.2500 0.0000 0.7640
0.7500 0.0000 0.2360
```

**Density of states at the Fermi level**: 9.4 states/eV/cell
**E_form**: -0.26 eV per atom
**Distance to the lowest polymorph of the same formula**: 104 meV per atom

=====

# 2
Th3In2Sn after structural relaxation, computed with PBE.

The structure in POSCAR format:
```
Th3In2Sn
1.0
5.5593 0.0000 0.0000
-2.7796 4.8145 0.0000
0.0000 0.0000 6.5650
Th In Sn
3 2 1
Direct
0.0000 0.0000 0.0000
0.3333 0.6667 0.6443
0.6667 0.3333 0.3557
0.3333 0.6667 0.1439
0.6667 0.3333 0.8561
0.0000 0.0000 0.5000
```

**Density of states at the Fermi level**: 9.0 states/eV/cell
**E_form**: -0.26 eV per atom
**Distance to the lowest polymorph of the same formula**: 108 meV per atom

=====

# 3
BaNa2Au after structural relaxation, computed with PBE.

The structure in POSCAR format:
```
BaNa2Au
1.0
0.0000 3.9504 3.9504
3.9504 0.0000 3.9504
3.9504 3.9504 0.0000
Ba Na Au
1 2 1
Direct
0.0000 0.0000 0.0000
0.2500 0.2500 0.2500
0.7500 0.7500 0.7500
0.5000 0.5000 0.5000
```

**Density of states at the Fermi level**: 3.0 states/eV/cell
**E_form**: -0.10 eV per atom
**Distance to the lowest polymorph of the same formula**: 233 meV per atom

=====

# 4
Nd2CdBi after structural relaxation, computed with PBE.

The structure in POSCAR format:
```
Nd2CdBi
1.0
2.2473 1.2975 7.7401
-2.2473 1.2975 7.7401
0.0000 -2.5950 7.7401
Nd Cd Bi
2 1 1
Direct
0.2466 0.2466 0.2466
0.7534 0.7534 0.7534
0.0000 0.0000 0.0000
0.5000 0.5000 0.5000
```

**Density of states at the Fermi level**: 5.2 states/eV/cell
**E_form**: -0.47 eV per atom
**Distance to the lowest polymorph of the same formula**: 92 meV per atom

=====

# 5
Ba2ScMo after structural relaxation, computed with PBE.

The structure in POSCAR format:
```
Ba2ScMo
1.0
5.0485 0.0000 0.0000
0.0000 5.0485 0.0000
0.0000 0.0000 5.1178
Ba Sc Mo
2 1 1
Direct
0.0000 0.5000 0.0000
0.5000 0.0000 0.0000
0.0000 0.0000 0.5000
0.5000 0.5000 0.5000
```

**Density of states at the Fermi level**: 5.3 states/eV/cell
**E_form**: 1.01 eV per atom
**Distance to the lowest polymorph of the same formula**: 469 meV per atom